Ho2MgAg2W4O16, relaxed, DFT PBE+U; Fermi-level density of states = 0.00 states/eV/f.u.; V = 333.19 Å³/cell; excess energy over the best structure of this formula in the dataset = 0.026 eV per atom
1.0
5.2720 -5.5299 0.0000
5.2720 5.5299 0.0000
-4.6226 0.0000 5.7145
Ho Mg Ag W O
2 1 2 4 16
Cartesian
5.2720 3.1511 0.0000
5.2720 -3.1511 0.0000
5.2720 0.0000 0.0000
-0.6785 0.0000 3.0629
6.5999 0.0000 2.6516
2.5546 0.0000 0.1404
2.9607 1.7614 2.8573
2.9607 -1.7614 2.8573
3.3667 0.0000 5.5741
-3.6006 0.0000 4.8274
1.7070 1.4553 1.3660
1.8188 2.8495 3.7558
-0.7188 1.3263 5.1830
4.1025 2.8495 1.9587
1.7070 -1.4553 1.3660
-0.7188 -1.3263 5.1830
2.1158 0.0000 3.8252
3.8055 0.0000 1.8893
6.6401 1.3263 0.5315
4.2143 1.4553 4.3485
1.8188 -2.8495 3.7558
6.6401 -1.3263 0.5315
4.1025 -2.8495 1.9587
4.2143 -1.4553 4.3485
9.5219 0.0000 0.8871